## Ca2GeOsO6 (PBE)

Data for a geometry-optimized Ca2GeOsO6 structure.

Unit cell a=5.5366 b=5.5366 c=3.8122 alpha=90.00 beta=90.00 gamma=90.00
Space group P4mm (No. 99)
Symmetry-distinct sites (fractional):
Ca 0.0000 0.5000 0.0000 [2 per cell]
Ge 0.0000 0.0000 0.5422 [1 per cell]
Os 0.5000 0.5000 0.5478 [1 per cell]
O 0.0000 0.0000 0.0542 [1 per cell]
O 0.2411 0.2411 0.5728 [4 per cell]
O 0.5000 0.5000 0.0492 [1 per cell]

Results
**E**: -6.804 eV/atom
**Calculated density**: 6.24 Mg/m³